(1)
Entry from Alexandria: CsSNO2 after structural relaxation (PBE).

Values from the calculation:
ρ	2855	kg/m³
energy relative to the elements, uncorrected	1.9244	eV per atom
V	122.7	Å³/cell
DFT total energy	-2.7201	eV/atom
crystal system	tetragonal

Cell lengths 4.452, 4.452, 6.191 Å; angles 90.00, 90.00, 90.00 degrees
Each line ends with the local moment (μB).
Fractional positions:
Cs1 0.000 0.000 0.000  -0.07
S1 0.500 0.500 0.500  -0.98
O1 0.000 0.500 0.000  -0.38
O2 0.500 0.000 0.000  -0.38
N1 0.000 0.000 0.500  1.74

(2)
Entry from Alexandria: CsSNO2 after structural relaxation (PBE).

Values from the calculation:
ρ	4915	kg/m³
energy relative to the elements, uncorrected	0.5582	eV per atom
V	71.3	Å³/cell
DFT total energy	-4.0864	eV/atom
crystal system	tetragonal

Cell lengths 4.047, 4.047, 4.352 Å; angles 90.00, 90.00, 90.00 degrees
Each line ends with the local moment (μB).
Fractional positions:
Cs1 0.500 0.500 0.500  0.12
S1 0.000 0.000 0.000  -0.09
O1 0.000 0.500 0.000  0.12
O2 0.500 0.000 0.000  0.12
N1 0.000 0.000 0.500  1.12

(3)
Entry from Alexandria: CsSbNO2 after structural relaxation (PBE).

Values from the calculation:
ρ	6456	kg/m³
energy relative to the elements, uncorrected	-0.3638	eV per atom
V	77.3	Å³/cell
DFT total energy	-5.0074	eV/atom
crystal system	tetragonal

Cell lengths 4.176, 4.176, 4.434 Å; angles 90.00, 90.00, 90.00 degrees
Each line ends with the local moment (μB).
Fractional positions:
Cs1 0.500 0.500 0.500  0.09
Sb1 0.000 0.000 0.000  -0.02
O1 0.000 0.500 0.000  0.03
O2 0.500 0.000 0.000  0.03
N1 0.000 0.000 0.500  0.76

Number 1: size of the total moment 0.004 μB/atom, N(E_F) 0.648 states/eV per atom. Number 2: size of the total moment 0.375 μB/atom, N(E_F) 0.301 states/eV per atom. Number 3: size of the total moment 0.250 μB/atom, N(E_F) 0.190 states/eV per atom.